DFT (PBE-GGA) results for a geometry-optimized Mg2Zr3 structure.

## Properties
Magnetic moment, Bohr magnetons per cell: 0.00
Formation energy from the elements, eV/atom: 0.060
Uncorrected energy, eV per atom: -5.707

Cell and atoms, written as POSCAR:
```
Mg2Zr3
1.0
1.5731 0.9082 13.4698
-1.5731 0.9082 13.4698
0.0000 -1.8164 13.4698
Mg Zr
2 3
direct
0.0999 0.0999 0.0999
0.9001 0.9001 0.9001
0.3014 0.3014 0.3014
0.5000 0.5000 0.5000
0.6986 0.6986 0.6986
```